# LiLa2P3Rh4

A geometry-optimized LiLa2P3Rh4 structure (PBE, Alexandria via LeMat-Bulk).

Structure (POSCAR):
```
LiLa2P3Rh4
1.0
4.105 0.000 0.000
0.000 4.105 0.000
0.000 0.000 10.035
Li La P Rh
1 2 3 4
direct
0.000 0.000 0.000 Li
0.000 0.500 0.756 La
0.500 0.000 0.244 La
0.000 0.500 0.365 P
0.500 0.000 0.635 P
0.500 0.500 0.000 P
0.000 0.000 0.500 Rh
0.000 0.500 0.131 Rh
0.500 0.000 0.869 Rh
0.500 0.500 0.500 Rh
```

- E_form: -1071 meV/atom
- DOS at the Fermi energy: 3.32 states/eV per cell
- Calculated total energy: -6.81 eV per atom

---

# Hf3MnIr

A geometry-optimized Hf3MnIr structure (PBE, Alexandria via LeMat-Bulk).

Structure (POSCAR):
```
Hf3MnIr
1.0
5.013 0.000 0.000
0.000 5.013 0.000
0.000 0.000 5.013
Hf Mn Ir
3 1 1
direct
0.000 0.000 0.500 Hf
0.000 0.500 0.000 Hf
0.500 0.000 0.000 Hf
0.500 0.500 0.500 Mn
0.000 0.000 0.000 Ir
```

- E_form: 472 meV/atom
- DOS at the Fermi energy: 10.11 states/eV per cell
- Energy relative to the lowest polymorph listed for this composition: 76 meV/atom
- Calculated total energy: -9.11 eV per atom

---

# LaOsSeBr2

A geometry-optimized LaOsSeBr2 structure (PBE, Alexandria via LeMat-Bulk).

Structure (POSCAR):
```
LaOsSeBr2
1.0
4.974 0.000 0.000
0.000 4.974 0.000
0.000 0.000 5.036
La Os Se Br
1 1 1 2
direct
0.000 0.000 0.000 La
0.500 0.500 0.500 Os
0.500 0.500 0.000 Se
0.000 0.500 0.500 Br
0.500 0.000 0.500 Br
```

- DOS at the Fermi energy: 3.82 states/eV per cell
- Energy relative to the lowest polymorph listed for this composition: 0 meV/atom
- Calculated total energy: -4.82 eV per atom
- E_form (uncorrected): -0.23 eV per atom

---

# Ce4PuS5

A geometry-optimized Ce4PuS5 structure (PBE, Alexandria via LeMat-Bulk).

Structure (POSCAR):
```
Ce4PuS5
1.0
-4.475 4.475 2.833
4.475 -4.475 2.833
4.475 4.475 -2.833
Ce Pu S
4 1 5
direct
0.099 0.700 0.799 Ce
0.300 0.099 0.400 Ce
0.700 0.901 0.600 Ce
0.901 0.300 0.201 Ce
0.500 0.500 0.000 Pu
0.000 0.000 0.000 S
0.204 0.401 0.605 S
0.401 0.796 0.197 S
0.599 0.204 0.803 S
0.796 0.599 0.395 S
```

- DOS at the Fermi energy: 23.41 states/eV per cell
- Calculated total energy: -7.86 eV per atom
- E_form (uncorrected): -1.99 eV per atom

---

# BeNbF2

A geometry-optimized BeNbF2 structure (PBE, Alexandria via LeMat-Bulk).

Structure (POSCAR):
```
BeNbF2
1.0
1.386 0.800 7.971
-1.386 0.800 7.971
0.000 -1.600 7.971
Be Nb F
1 1 2
direct
0.000 0.000 0.000 Be
0.500 0.500 0.500 Nb
0.101 0.101 0.101 F
0.899 0.899 0.899 F
```

- DOS at the Fermi energy: 1.05 states/eV per cell
- Energy relative to the lowest polymorph listed for this composition: 495 meV/atom
- Calculated total energy: -5.56 eV per atom
- E_form (uncorrected): -1.17 eV per atom

---

# Fe2Tc

A geometry-optimized Fe2Tc structure (PBE, Alexandria via LeMat-Bulk).

Structure (POSCAR):
```
Fe2Tc
1.0
1.295 -6.783 0.000
1.295 6.783 0.000
0.000 0.000 4.124
Fe Tc
4 2
direct
0.050 0.950 0.750 Fe
0.396 0.604 0.750 Fe
0.604 0.396 0.250 Fe
0.950 0.050 0.250 Fe
0.285 0.715 0.250 Tc
0.715 0.285 0.750 Tc
```

- E_form: 126 meV/atom
- DOS at the Fermi energy: 6.17 states/eV per cell
- Energy relative to the lowest polymorph listed for this composition: 106 meV/atom
- Calculated total energy: -8.97 eV per atom

---

Q: The lowest DOS at the Fermi energy belongs to which entry?
A: BeNbF2